As2Ru2Rh | PBE | optimized geometry

Properties
M_tot, Bohr magnetons per cell: 0.00
E_form, kcal/mol of atoms: -0.5

a b c (Å): 7.0939 7.0939 2.9253
angles (deg): 90.00 90.00 90.00
Atoms (fractional coordinates):
As1 0.1562 0.3438 0.0000
As2 0.3438 0.8438 0.0000
As3 0.6562 0.1562 0.0000
As4 0.8438 0.6562 0.0000
Ru1 0.1439 0.6439 0.5000
Ru2 0.3561 0.1439 0.5000
Ru3 0.6439 0.8561 0.5000
Ru4 0.8561 0.3561 0.5000
Rh1 0.0000 0.0000 0.0000
Rh2 0.5000 0.5000 0.0000

As2RuRh | PBE | optimized geometry

Properties
M_tot, Bohr magnetons per cell: 0.00
Distance to the lowest polymorph of the same formula, eV per formula unit: 0.56
E_form, kcal/mol of atoms: -3.0

a b c (Å): 4.2231 4.2231 5.2047
angles (deg): 101.76 101.76 42.14
Atoms (fractional coordinates):
As1 0.2464 0.2464 0.2420
As2 0.7536 0.7536 0.7580
Ru1 0.5000 0.5000 0.0000
Rh1 0.0000 0.0000 0.5000

AsRu2Rh | PBE | optimized geometry

Properties
M_tot, Bohr magnetons per cell: 2.03
E_form, kcal/mol of atoms: 6.7

a b c (Å): 4.3629 4.3629 4.3629
angles (deg): 60.00 60.00 60.00
Atoms (fractional coordinates):
As1 0.0000 0.0000 0.0000
Ru1 0.5000 0.5000 0.5000
Ru2 0.7500 0.7500 0.7500
Rh1 0.2500 0.2500 0.2500

AsRuRh3 | PBE | optimized geometry

Properties
M_tot, Bohr magnetons per cell: 3.98
Distance to the lowest polymorph of the same formula, eV per formula unit: 0.00
E_form, kcal/mol of atoms: 20.5

a b c (Å): 4.5095 4.5095 4.5095
angles (deg): 90.00 90.00 90.00
Atoms (fractional coordinates):
As1 0.0000 0.0000 0.0000
Ru1 0.5000 0.5000 0.5000
Rh1 0.0000 0.0000 0.5000
Rh2 0.0000 0.5000 0.0000
Rh3 0.5000 0.0000 0.0000

As2RuRh | PBE | optimized geometry

Properties
M_tot, Bohr magnetons per cell: 0.00
Distance to the lowest polymorph of the same formula, eV per formula unit: 0.00
E_form, kcal/mol of atoms: -6.2

a b c (Å): 4.5828 4.5993 4.5993
angles (deg): 47.27 90.00 90.00
Atoms (fractional coordinates):
As1 0.0000 0.0000 0.0000
As2 0.5000 0.1923 0.1923
Ru1 0.5000 0.8743 0.8743
Rh1 0.0000 0.3184 0.3184

As2RuRh | PBE | optimized geometry

Properties
M_tot, Bohr magnetons per cell: 0.00
Distance to the lowest polymorph of the same formula, eV per formula unit: 0.47
E_form, kcal/mol of atoms: -3.5

a b c (Å): 7.8813 7.8813 7.8813
angles (deg): 22.10 22.10 22.10
Atoms (fractional coordinates):
As1 0.2484 0.2484 0.2484
As2 0.7516 0.7516 0.7516
Ru1 0.5000 0.5000 0.5000
Rh1 0.0000 0.0000 0.0000

AsRu2Rh2 | PBE | optimized geometry

Properties
M_tot, Bohr magnetons per cell: 0.00
Distance to the lowest polymorph of the same formula, eV per formula unit: 0.21
E_form, kcal/mol of atoms: 8.6

a b c (Å): 7.0574 7.0574 7.0574
angles (deg): 151.39 151.39 40.90
Atoms (fractional coordinates):
As1 0.0000 0.0000 0.0000
Ru1 0.2500 0.7500 0.5000
Ru2 0.7500 0.2500 0.5000
Rh1 0.4012 0.4012 0.0000
Rh2 0.5988 0.5988 0.0000

As2RuRh | PBE | optimized geometry

Properties
M_tot, Bohr magnetons per cell: 0.00
Distance to the lowest polymorph of the same formula, eV per formula unit: 1.80
E_form, kcal/mol of atoms: 4.2

a b c (Å): 3.0073 3.0073 7.9676
angles (deg): 90.00 90.00 118.29
Atoms (fractional coordinates):
As1 0.0000 0.0000 0.2479
As2 0.0000 0.0000 0.7521
Ru1 0.5000 0.5000 0.0000
Rh1 0.5000 0.5000 0.5000

AsRu2Rh | PBE | optimized geometry

Properties
M_tot, Bohr magnetons per cell: 0.96
E_form, kcal/mol of atoms: 9.0

a b c (Å): 2.7806 2.7806 8.8338
angles (deg): 90.00 90.00 119.14
Atoms (fractional coordinates):
As1 0.0000 0.0000 0.0000
Ru1 0.0000 0.0000 0.4938
Ru2 0.5000 0.5000 0.2427
Rh1 0.5000 0.5000 0.7566

AsRu2Rh | PBE | optimized geometry

Properties
M_tot, Bohr magnetons per cell: 0.00
E_form, kcal/mol of atoms: 16.6

a b c (Å): 6.7061 6.7061 6.7061
angles (deg): 131.41 131.41 71.16
Atoms (fractional coordinates):
As1 0.0000 0.0000 0.0000
As2 0.7500 0.2500 0.5000
Ru1 0.1216 0.6250 0.9966
Ru2 0.3750 0.3716 0.4966
Ru3 0.6284 0.1250 0.0034
Ru4 0.8750 0.8784 0.5034
Rh1 0.2500 0.7500 0.5000
Rh2 0.5000 0.5000 0.0000

AsRu2Rh | PBE | optimized geometry

Properties
M_tot, Bohr magnetons per cell: 0.00
E_form, kcal/mol of atoms: 4.4

a b c (Å): 2.8239 3.6607 5.5766
angles (deg): 90.00 90.00 90.00
Atoms (fractional coordinates):
As1 0.0000 0.0000 0.0000
Ru1 0.5000 0.5000 0.2516
Ru2 0.5000 0.5000 0.7484
Rh1 0.0000 0.0000 0.5000

AsRu2Rh | PBE | optimized geometry

Properties
M_tot, Bohr magnetons per cell: 0.00
E_form, kcal/mol of atoms: 1.5

a b c (Å): 4.5814 4.5814 4.5814
angles (deg): 128.88 128.88 75.21
Atoms (fractional coordinates):
As1 0.0000 0.0000 0.0000
Ru1 0.2500 0.7500 0.5000
Ru2 0.7500 0.2500 0.5000
Rh1 0.5000 0.5000 0.0000